Below is an optimized crystal structure of Sm3Cu2Ge3, with properties calculated at the PBE level.

Properties
energy = -5.197 eV/atom
N(E_F) = 8.82 states/eV/cell
calculated volume = 333.6 Å³/cell

Cell and atoms, written as CIF:
```
data_Sm3Cu2Ge3
_chemical_formula_sum 'Sm6 Cu4 Ge6'
_cell_length_a 5.7867
_cell_length_b 5.7867
_cell_length_c 14.4512
_cell_angle_alpha 90.00
_cell_angle_beta 90.00
_cell_angle_gamma 136.42
_symmetry_space_group_name_H-M 'P 1'
_symmetry_Int_Tables_number 1
loop_
_symmetry_equiv_pos_as_xyz
'x,y,z'
loop_
_atom_site_label
_atom_site_type_symbol
_atom_site_fract_x
_atom_site_fract_y
_atom_site_fract_z
Sm1 Sm 0.0858 0.9142 0.6121
Sm2 Sm 0.0858 0.9142 0.8879
Sm3 Sm 0.3684 0.6316 0.7500
Sm4 Sm 0.6316 0.3684 0.2500
Sm5 Sm 0.9142 0.0858 0.1121
Sm6 Sm 0.9142 0.0858 0.3879
Cu1 Cu 0.2102 0.7898 0.0926
Cu2 Cu 0.2102 0.7898 0.4074
Cu3 Cu 0.7898 0.2102 0.5926
Cu4 Cu 0.7898 0.2102 0.9074
Ge1 Ge 0.3333 0.6667 0.2500
Ge2 Ge 0.3848 0.6152 0.5405
Ge3 Ge 0.3848 0.6152 0.9595
Ge4 Ge 0.6152 0.3848 0.0405
Ge5 Ge 0.6152 0.3848 0.4595
Ge6 Ge 0.6667 0.3333 0.7500
```